# 1
The following is a DFT calculation (PBE) of a geometry-optimized Er3Rh2 structure.

Summary:
* polymorph energy (0 for the lowest one): 42 meV/atom
* total energy: -96.8 eV/cell
* spin magnetization: 0.000 μB/f.u.
* space-group type: No. 12

Cell lengths 4.698, 7.650, 10.140 Å; angles 91.46, 90.00, 107.88 degrees
Sites, in units of the cell vectors:
Rh1 0.667 0.334 0.167
Rh2 0.000 0.000 0.167
Rh3 0.667 0.333 0.500
Rh4 0.333 0.667 0.500
Rh5 0.000 0.000 0.833
Rh6 0.333 0.666 0.833
Er1 0.166 0.332 0.667
Er2 0.500 0.001 0.666
Er3 0.167 0.333 0.333
Er4 0.834 0.668 0.333
Er5 0.833 0.667 0.667
Er6 0.500 0.999 0.334
Er7 0.833 0.666 0.000
Er8 0.167 0.334 0.000
Er9 0.500 0.000 0.000



# 2
The following is a DFT calculation (PBE) of a geometry-optimized ErRh6 structure.

Summary:
* polymorph energy (0 for the lowest one): 741 meV/atom
* total energy: -45.1 eV/cell
* spin magnetization: 0.000 μB/f.u.
* space-group type: No. 229

Cell lengths 5.823, 5.823, 5.823 Å; angles 109.47, 109.47, 109.47 degrees
Sites, in units of the cell vectors:
Rh1 0.250 0.750 0.500
Rh2 0.500 0.750 0.250
Rh3 0.750 0.500 0.250
Rh4 0.250 0.500 0.750
Rh5 0.750 0.250 0.500
Rh6 0.500 0.250 0.750
Er1 0.000 0.000 0.000



# 3
The following is a DFT calculation (PBE) of a geometry-optimized ErRh2 structure.

Summary:
* total energy: -20.5 eV/cell
* spin magnetization: 0.000 μB/f.u.
* space-group type: No. 139

Cell lengths 3.391, 3.391, 5.204 Å; angles 109.02, 109.02, 90.00 degrees
Sites, in units of the cell vectors:
Rh1 0.666 0.666 0.333
Rh2 0.334 0.334 0.667
Er1 0.000 0.000 0.000



# 4
The following is a DFT calculation (PBE) of a geometry-optimized Er3Rh2 structure.

Summary:
* polymorph energy (0 for the lowest one): 75 meV/atom
* total energy: -64.2 eV/cell
* spin magnetization: 0.000 μB/f.u.
* space-group type: No. 63

Cell lengths 4.240, 5.905, 9.955 Å; angles 90.00, 90.00, 111.04 degrees
Sites, in units of the cell vectors:
Er1 0.147 0.794 0.433
Er2 0.853 0.206 0.933
Er3 0.408 0.316 0.250
Er4 0.592 0.684 0.750
Er5 0.853 0.206 0.567
Er6 0.147 0.794 0.067
Rh1 0.320 0.139 0.750
Rh2 0.500 0.500 0.500
Rh3 0.680 0.861 0.250
Rh4 0.500 0.500 0.000